(1)
VASP calculation (SCAN) on a crystal of KBe3Tl relaxed with PBEsol.

Results
Symmetry: Pm-3m, No. 221
DFT total energy in eV/atom: -17.791

abc: 4.7147 4.7147 4.7147
angles: 90.00 90.00 90.00
Fractional positions:
Be (0.0000, 0.5000, 0.0000)
Be (0.0000, 0.0000, 0.5000)
Be (0.5000, 0.0000, 0.0000)
K (0.5000, 0.5000, 0.5000)
Tl (0.0000, 0.0000, 0.0000)

***

(2)
VASP calculation (SCAN) on a crystal of Be3MoF relaxed with PBEsol.

Results
Formation energy (no corrections) in eV/atom: 1.46
Symmetry: Pm-3m, No. 221

abc: 4.4406 4.4406 4.4406
angles: 90.00 90.00 90.00
Each line ends with the local moment (μB).
Fractional positions:
Be (0.0000, 0.5000, 0.0000)  0.11
Be (0.0000, 0.0000, 0.5000)  0.11
Be (0.5000, 0.0000, 0.0000)  0.11
Mo (0.0000, 0.0000, 0.0000)  1.98
F (0.5000, 0.5000, 0.5000)  0.28

***

(3)
VASP calculation (SCAN) on a crystal of ZrBeNi relaxed with PBEsol.

Results
Energy above the most stable polymorph in this dataset in kJ/mol of formula units: 0.0
Symmetry: P-6m2, No. 187

abc: 3.0701 3.9115 3.9115
angles: 120.00 90.00 90.00
Fractional positions:
Zr (0.5000, 0.6667, 0.3333)
Ni (0.0000, 0.3333, 0.6667)
Be (0.0000, 0.0000, 0.0000)

***

(4)
VASP calculation (SCAN) on a crystal of Cs2HgBiBr6 relaxed with PBEsol.

Results
Formation energy (no corrections) in eV/atom: -1.17
Symmetry: Fm-3m, No. 225

abc: 8.0941 8.0941 8.0941
angles: 60.00 60.00 60.00
Fractional positions:
Br (0.2482, 0.7518, 0.7518)
Br (0.2482, 0.7518, 0.2482)
Br (0.2482, 0.2482, 0.7518)
Br (0.7518, 0.2482, 0.2482)
Br (0.7518, 0.7518, 0.2482)
Br (0.7518, 0.2482, 0.7518)
Cs (0.2500, 0.2500, 0.2500)
Cs (0.7500, 0.7500, 0.7500)
Bi (0.0000, 0.0000, 0.0000)
Hg (0.5000, 0.5000, 0.5000)